1.
The following is a PBE calculation of AcTbZnGe after structural relaxation, from Alexandria via LeMat-Bulk.

Summary:
Formation energy from the elements, meV/atom: -430.4
Uncorrected energy, eV/atom: -4.088
Space-group type: F-43m (216)

a b c (Å): 5.293 5.293 5.293
angles (deg): 60.00 60.00 60.00
Fractional positions:
Ge 0.250 0.250 0.250
Zn 0.750 0.750 0.750
Tb 0.000 0.000 0.000
Ac 0.500 0.500 0.500



2.
The following is a PBE calculation of NiRuI2N after structural relaxation, from Alexandria via LeMat-Bulk.

Summary:
Uncorrected energy, eV/atom: -4.220
Raw formation energy, eV/atom: 1.076
Space-group type: P4/mmm (123)

a b c (Å): 5.306 5.306 3.409
angles (deg): 90.00 90.00 90.00
Fractional positions:
Ru 0.500 0.500 0.500
I 0.000 0.500 0.000
I 0.500 0.000 0.000
N 0.000 0.000 0.500
Ni 0.000 0.000 0.000



3.
The following is a PBE calculation of ZrScAl2 after structural relaxation, from Alexandria via LeMat-Bulk.

Summary:
Formation energy from the elements, meV/atom: -382.9
Uncorrected energy, eV/atom: -5.974
Space-group type: P4/mmm (123)

a b c (Å): 4.967 4.967 3.141
angles (deg): 90.00 90.00 90.00
Fractional positions:
Zr 0.000 0.500 0.500
Sc 0.500 0.000 0.500
Al 0.500 0.500 0.000
Al 0.000 0.000 0.000



4.
The following is a PBE calculation of BaMoP2I after structural relaxation, from Alexandria via LeMat-Bulk.

Summary:
Uncorrected energy, eV/atom: -3.992
Raw formation energy, eV/atom: 1.033
Space-group type: P4/mmm (123)

a b c (Å): 5.487 5.056 5.487
angles (deg): 90.00 90.00 90.00
Fractional positions:
I 0.000 0.000 0.000
P 0.500 0.000 0.000
P 0.000 0.000 0.500
Mo 0.000 0.500 0.000
Ba 0.500 0.500 0.500



5.
The following is a PBE calculation of CeCdIn2Au4 after structural relaxation, from Alexandria via LeMat-Bulk.

Summary:
Formation energy from the elements, meV/atom: -381.9
Uncorrected energy, eV/atom: -3.561
Space-group type: R-3m (166)

a b c (Å): 4.742 4.742 9.398
angles (deg): 75.39 75.39 60.00
Fractional positions:
Au 0.871 0.871 0.386
Au 0.129 0.129 0.614
Au 0.388 0.388 0.835
Au 0.612 0.612 0.165
Cd 0.500 0.500 0.500
Ce 0.000 0.000 0.000
In 0.246 0.246 0.262
In 0.754 0.754 0.738



6.
The following is a PBE calculation of SiAsH after structural relaxation, from Alexandria via LeMat-Bulk.

Summary:
Uncorrected energy, eV/atom: -4.436
Space-group type: P-1 (2)

a b c (Å): 6.185 4.936 6.464
angles (deg): 108.93 81.29 47.92
Fractional positions:
Si 0.565 0.479 0.704
Si 0.811 0.774 0.521
H 0.231 0.814 0.952
H 0.145 0.439 0.274
As 0.467 0.731 0.427
As 0.909 0.522 0.799



7.
The following is a PBE calculation of SiHg2Ru after structural relaxation, from Alexandria via LeMat-Bulk.

Summary:
Uncorrected energy, eV/atom: -3.275
Raw formation energy, eV/atom: 0.550
Space-group type: Cmmm (65)

a b c (Å): 4.905 4.905 3.333
angles (deg): 90.00 90.00 114.32
Fractional positions:
Ru 0.500 0.000 0.500
Hg 0.500 0.500 0.000
Hg 0.000 0.000 0.000
Si 0.000 0.500 0.500



8.
The following is a PBE calculation of Ce2DySn after structural relaxation, from Alexandria via LeMat-Bulk.

Summary:
Formation energy from the elements, meV/atom: -158.0
Uncorrected energy, eV/atom: -5.276
Space-group type: Fm-3m (225)

a b c (Å): 5.462 5.462 5.462
angles (deg): 60.00 60.00 60.00
Fractional positions:
Ce 0.750 0.750 0.750
Ce 0.250 0.250 0.250
Sn 0.500 0.500 0.500
Dy 0.000 0.000 0.000



9.
The following is a PBE calculation of Er8Cd2Ga after structural relaxation, from Alexandria via LeMat-Bulk.

Summary:
Formation energy from the elements, meV/atom: -177.4
Uncorrected energy, eV/atom: -3.937
Space-group type: C2/m (12)

a b c (Å): 5.178 6.894 9.264
angles (deg): 105.88 106.23 90.00
Fractional positions:
Cd 0.816 0.282 0.631
Cd 0.184 0.718 0.369
Er 0.339 0.035 0.679
Er 0.020 0.771 0.041
Er 0.199 0.300 0.397
Er 0.801 0.700 0.603
Er 0.661 0.965 0.321
Er 0.592 0.451 0.184
Er 0.408 0.549 0.816
Er 0.980 0.229 0.959
Ga 0.500 0.000 0.000



10.
The following is a PBE calculation of SrRhN2 after structural relaxation, from Alexandria via LeMat-Bulk.

Summary:
Uncorrected energy, eV/atom: -6.386
Raw formation energy, eV/atom: 0.035
Space-group type: I-42d (122)

a b c (Å): 5.084 5.084 6.244
angles (deg): 65.97 65.97 90.00
Fractional positions:
Sr 0.500 0.500 0.000
Sr 0.250 0.750 0.500
N 0.375 0.279 0.750
N 0.721 0.125 0.250
N 0.029 0.625 0.250
N 0.875 0.971 0.750
Rh 0.750 0.250 0.500
Rh 0.000 0.000 0.000



11.
The following is a PBE calculation of MnAl2W after structural relaxation, from Alexandria via LeMat-Bulk.

Summary:
Formation energy from the elements, meV/atom: 9.0
Uncorrected energy, eV/atom: -7.393
Space-group type: R-3m (166)

a b c (Å): 8.896 8.896 8.896
angles (deg): 18.11 18.11 18.11
Fractional positions:
Mn 0.250 0.250 0.250
Al 0.996 0.996 0.996
Al 0.504 0.504 0.504
W 0.750 0.750 0.750



12.
The following is a PBE calculation of GaAuC3 after structural relaxation, from Alexandria via LeMat-Bulk.

Summary:
Formation energy from the elements, meV/atom: 2771.6
Uncorrected energy, eV/atom: -4.024
Space-group type: Pm-3m (221)

a b c (Å): 4.026 4.026 4.026
angles (deg): 90.00 90.00 90.00
Fractional positions:
C 0.000 0.500 0.000
C 0.500 0.000 0.000
C 0.000 0.000 0.500
Ga 0.000 0.000 0.000
Au 0.500 0.500 0.500



> Which formula does entry 12 have?

GaAuC3